An optimized crystal structure of SrZn2InO, computed with PBE.

Summary:
The density of states at the Fermi level comes out at 2.51 states/eV/f.u. The calculation puts the calculated volume at 121.9 Å³/cell. For the formation energy (no corrections), the calculation gives -0.2005 eV/atom.

Unit cell a=5.271 b=5.271 c=4.389 alpha=90.00 beta=90.00 gamma=90.00
Fractional positions:
Sr  0.000  0.000  0.000
Zn  0.000  0.500  0.500
Zn  0.500  0.000  0.500
In  0.500  0.500  0.500
O  0.500  0.500  0.000

***

An optimized crystal structure of Sr2ZnInO5, computed with PBE.

Summary:
The density of states at the Fermi level comes out at 7.43 states/eV/f.u. The calculation puts the calculated volume at 254.6 Å³/cell. For the formation energy (no corrections), the calculation gives -1.9140 eV/atom.

Unit cell a=7.439 b=7.439 c=10.337 alpha=90.00 beta=90.00 gamma=153.57
Fractional positions:
Sr  0.116  0.884  0.500
Sr  0.129  0.871  0.095
Sr  0.871  0.129  0.595
Sr  0.884  0.116  0.000
Zn  0.488  0.512  0.275
Zn  0.512  0.488  0.775
In  0.214  0.786  0.805
In  0.786  0.214  0.305
O  0.059  0.941  0.839
O  0.287  0.713  0.446
O  0.298  0.702  0.167
O  0.369  0.631  0.806
O  0.500  0.500  0.086
O  0.500  0.500  0.586
O  0.631  0.369  0.306
O  0.702  0.298  0.667
O  0.713  0.287  0.946
O  0.941  0.059  0.339

***

An optimized crystal structure of Sr6ZnIn2O, computed with PBE.

Summary:
The density of states at the Fermi level comes out at 10.72 states/eV/f.u. The calculation puts the calculated volume at 699.8 Å³/cell. For the formation energy (no corrections), the calculation gives -0.5874 eV/atom.

Unit cell a=7.916 b=11.168 c=7.916 alpha=90.00 beta=90.00 gamma=90.00
Fractional positions:
Sr  0.017  0.250  0.016
Sr  0.017  0.250  0.481
Sr  0.250  0.017  0.248
Sr  0.250  0.483  0.248
Sr  0.483  0.250  0.016
Sr  0.483  0.250  0.481
Sr  0.517  0.750  0.519
Sr  0.517  0.750  0.984
Sr  0.750  0.517  0.752
Sr  0.750  0.983  0.752
Sr  0.983  0.750  0.519
Sr  0.983  0.750  0.984
Zn  0.250  0.750  0.252
Zn  0.750  0.250  0.748
In  0.250  0.000  0.750
In  0.250  0.500  0.750
In  0.750  0.000  0.250
In  0.750  0.500  0.250
O  0.250  0.250  0.249
O  0.750  0.750  0.751

***

An optimized crystal structure of Sr2ZrInO6, computed with PBE.

Summary:
The density of states at the Fermi level comes out at 10.14 states/eV/f.u. The calculation puts the calculated volume at 291.4 Å³/cell. For the formation energy (no corrections), the calculation gives -2.5075 eV/atom.

Unit cell a=5.867 b=5.961 c=10.173 alpha=90.00 beta=125.01 gamma=90.00
Fractional positions:
Sr  0.238  0.041  0.248
Sr  0.238  0.459  0.748
Sr  0.762  0.541  0.252
Sr  0.762  0.959  0.752
Zr  0.500  0.000  0.000
Zr  0.500  0.500  0.500
In  0.000  0.000  0.500
In  0.000  0.500  0.000
O  0.171  0.207  0.958
O  0.171  0.293  0.458
O  0.249  0.716  0.954
O  0.249  0.784  0.454
O  0.338  0.027  0.754
O  0.338  0.473  0.254
O  0.662  0.527  0.746
O  0.662  0.973  0.246
O  0.751  0.216  0.546
O  0.751  0.284  0.046
O  0.829  0.707  0.542
O  0.829  0.793  0.042

***

An optimized crystal structure of TaIn6O12, computed with PBE.

Summary:
The density of states at the Fermi level comes out at 16.58 states/eV/f.u. The calculation puts the calculated volume at 246.2 Å³/cell. For the formation energy (no corrections), the calculation gives -1.6938 eV/atom.

Unit cell a=6.363 b=6.363 c=6.363 alpha=99.30 beta=99.30 gamma=99.30
Fractional positions:
Ta  0.000  0.000  0.000
In  0.140  0.605  0.323
In  0.323  0.140  0.605
In  0.395  0.677  0.860
In  0.605  0.323  0.140
In  0.677  0.860  0.395
In  0.860  0.395  0.677
O  0.045  0.698  0.898
O  0.102  0.955  0.302
O  0.177  0.415  0.592
O  0.302  0.102  0.955
O  0.408  0.823  0.585
O  0.415  0.592  0.177
O  0.585  0.408  0.823
O  0.592  0.177  0.415
O  0.698  0.898  0.045
O  0.823  0.585  0.408
O  0.898  0.045  0.698
O  0.955  0.302  0.102

***

An optimized crystal structure of Ta2InO2, computed with PBE.

Summary:
The density of states at the Fermi level comes out at 3.05 states/eV/f.u. The calculation puts the calculated volume at 81.0 Å³/cell. For the formation energy (no corrections), the calculation gives -0.8859 eV/atom.

Unit cell a=5.599 b=5.599 c=5.599 alpha=136.86 beta=136.86 gamma=62.66
Fractional positions:
Ta  0.250  0.750  0.500
Ta  0.750  0.250  0.500
In  0.000  0.000  0.000
O  0.308  0.308  0.000
O  0.692  0.692  0.000

***

An optimized crystal structure of TaInO2, computed with PBE.

Summary:
The density of states at the Fermi level comes out at 2.20 states/eV/f.u. The calculation puts the calculated volume at 60.1 Å³/cell. For the formation energy (no corrections), the calculation gives -1.6333 eV/atom.

Unit cell a=7.711 b=7.711 c=7.711 alpha=22.74 beta=22.74 gamma=22.74
Fractional positions:
Ta  0.000  0.000  0.000
In  0.500  0.500  0.500
O  0.387  0.387  0.387
O  0.613  0.613  0.613

***

An optimized crystal structure of Ta3InO9, computed with PBE.

Summary:
The density of states at the Fermi level comes out at 0.00 states/eV/f.u. The calculation puts the calculated volume at 626.9 Å³/cell. For the formation energy (no corrections), the calculation gives -2.5145 eV/atom.

Unit cell a=6.400 b=7.671 c=12.771 alpha=90.00 beta=90.00 gamma=90.00
Fractional positions:
Ta  0.000  0.000  0.000
Ta  0.000  0.500  0.000
Ta  0.212  0.003  0.286
Ta  0.212  0.497  0.286
Ta  0.288  0.503  0.786
Ta  0.288  0.997  0.786
Ta  0.500  0.000  0.500
Ta  0.500  0.500  0.500
Ta  0.712  0.003  0.214
Ta  0.712  0.497  0.214
Ta  0.788  0.503  0.714
Ta  0.788  0.997  0.714
In  0.050  0.250  0.555
In  0.450  0.750  0.055
In  0.550  0.250  0.945
In  0.950  0.750  0.445
O  0.019  0.038  0.155
O  0.019  0.462  0.155
O  0.096  0.031  0.667
O  0.096  0.469  0.667
O  0.104  0.750  0.021
O  0.176  0.250  0.319
O  0.206  0.750  0.293
O  0.209  0.555  0.461
O  0.209  0.945  0.461
O  0.291  0.055  0.961
O  0.291  0.445  0.961
O  0.294  0.250  0.793
O  0.324  0.750  0.819
O  0.396  0.250  0.521
O  0.404  0.531  0.167
O  0.404  0.969  0.167
O  0.481  0.538  0.655
O  0.481  0.962  0.655
O  0.519  0.038  0.345
O  0.519  0.462  0.345
O  0.596  0.031  0.833
O  0.596  0.469  0.833
O  0.604  0.750  0.479
O  0.676  0.250  0.181
O  0.706  0.750  0.207
O  0.709  0.555  0.039
O  0.709  0.945  0.039
O  0.791  0.055  0.539
O  0.791  0.445  0.539
O  0.794  0.250  0.707
O  0.824  0.750  0.681
O  0.896  0.250  0.979
O  0.904  0.531  0.333
O  0.904  0.969  0.333
O  0.981  0.538  0.845
O  0.981  0.962  0.845

***

An optimized crystal structure of Ta3InO9, computed with PBE.

Summary:
The density of states at the Fermi level comes out at 0.00 states/eV/f.u. The calculation puts the calculated volume at 334.2 Å³/cell. For the formation energy (no corrections), the calculation gives -2.5591 eV/atom.

Unit cell a=5.213 b=7.489 c=8.560 alpha=90.00 beta=90.95 gamma=90.00
Fractional positions:
Ta  0.000  0.000  0.000
Ta  0.000  0.500  0.000
Ta  0.481  0.003  0.698
Ta  0.481  0.497  0.698
Ta  0.519  0.503  0.302
Ta  0.519  0.997  0.302
In  0.038  0.250  0.471
In  0.962  0.750  0.529
O  0.102  0.250  0.981
O  0.174  0.565  0.798
O  0.174  0.935  0.798
O  0.254  0.550  0.480
O  0.254  0.950  0.480
O  0.312  0.555  0.131
O  0.312  0.945  0.131
O  0.343  0.250  0.657
O  0.381  0.250  0.326
O  0.619  0.750  0.674
O  0.657  0.750  0.343
O  0.688  0.055  0.869
O  0.688  0.445  0.869
O  0.746  0.050  0.520
O  0.746  0.450  0.520
O  0.826  0.065  0.202
O  0.826  0.435  0.202
O  0.898  0.750  0.019

***

An optimized crystal structure of Ta2InO2, computed with PBE.

Summary:
The density of states at the Fermi level comes out at 1.55 states/eV/f.u. The calculation puts the calculated volume at 144.9 Å³/cell. For the formation energy (no corrections), the calculation gives -0.5039 eV/atom.

Unit cell a=7.247 b=7.247 c=2.759 alpha=90.00 beta=90.00 gamma=90.00
Fractional positions:
Ta  0.136  0.364  0.000
Ta  0.364  0.864  0.000
Ta  0.636  0.136  0.000
Ta  0.864  0.636  0.000
In  0.000  0.000  0.500
In  0.500  0.500  0.500
O  0.111  0.611  0.500
O  0.389  0.111  0.500
O  0.611  0.889  0.500
O  0.889  0.389  0.500

***

An optimized crystal structure of TaIn3O, computed with PBE.

Summary:
The density of states at the Fermi level comes out at 22.97 states/eV/f.u. The calculation puts the calculated volume at 163.9 Å³/cell. For the formation energy (no corrections), the calculation gives 1.1801 eV/atom.

Unit cell a=5.472 b=5.472 c=5.472 alpha=90.00 beta=90.00 gamma=90.00
Fractional positions:
Ta  0.000  0.000  0.000
In  0.000  0.000  0.500
In  0.000  0.500  0.000
In  0.500  0.000  0.000
O  0.500  0.500  0.500

***

An optimized crystal structure of TaIn2O, computed with PBE.

Summary:
The density of states at the Fermi level comes out at 3.88 states/eV/f.u. The calculation puts the calculated volume at 147.0 Å³/cell. For the formation energy (no corrections), the calculation gives 0.1259 eV/atom.

Unit cell a=5.779 b=5.779 c=5.779 alpha=106.23 beta=106.23 gamma=116.17
Fractional positions:
Ta  0.000  0.000  0.000
Ta  0.750  0.250  0.500
In  0.193  0.625  0.068
In  0.375  0.443  0.568
In  0.557  0.125  0.932
In  0.875  0.807  0.432
O  0.250  0.750  0.500
O  0.500  0.500  0.000

***

An optimized crystal structure of TaIn3O, computed with PBE.

Summary:
The density of states at the Fermi level comes out at 1.57 states/eV/f.u. The calculation puts the calculated volume at 96.8 Å³/cell. For the formation energy (no corrections), the calculation gives 0.1510 eV/atom.

Unit cell a=4.591 b=4.591 c=4.591 alpha=90.00 beta=90.00 gamma=90.00
Fractional positions:
Ta  0.000  0.000  0.000
In  0.000  0.500  0.500
In  0.500  0.000  0.500
In  0.500  0.500  0.000
O  0.500  0.500  0.500

***

An optimized crystal structure of TaInO2, computed with PBE.

Summary:
The density of states at the Fermi level comes out at 3.17 states/eV/f.u. The calculation puts the calculated volume at 60.7 Å³/cell. For the formation energy (no corrections), the calculation gives -1.0609 eV/atom.

Unit cell a=6.788 b=6.788 c=6.788 alpha=27.96 beta=27.96 gamma=27.96
Fractional positions:
Ta  0.000  0.000  0.000
In  0.500  0.500  0.500
O  0.103  0.103  0.103
O  0.897  0.897  0.897

***

An optimized crystal structure of TaIn2O6, computed with PBE.

Summary:
The density of states at the Fermi level comes out at 5.71 states/eV/f.u. The calculation puts the calculated volume at 238.1 Å³/cell. For the formation energy (no corrections), the calculation gives -1.8519 eV/atom.

Unit cell a=4.929 b=4.929 c=9.803 alpha=90.00 beta=90.00 gamma=90.00
Fractional positions:
Ta  0.000  0.000  0.000
Ta  0.500  0.500  0.500
In  0.000  0.000  0.333
In  0.000  0.000  0.667
In  0.500  0.500  0.167
In  0.500  0.500  0.833
O  0.190  0.190  0.153
O  0.190  0.190  0.847
O  0.211  0.211  0.500
O  0.289  0.711  0.000
O  0.310  0.690  0.347
O  0.310  0.690  0.653
O  0.690  0.310  0.347
O  0.690  0.310  0.653
O  0.711  0.289  0.000
O  0.789  0.789  0.500
O  0.810  0.810  0.153
O  0.810  0.810  0.847

***

An optimized crystal structure of Ta2InO6, computed with PBE.

Summary:
The density of states at the Fermi level comes out at 2.14 states/eV/f.u. The calculation puts the calculated volume at 129.3 Å³/cell. For the formation energy (no corrections), the calculation gives -2.4077 eV/atom.

Unit cell a=5.420 b=5.420 c=7.399 alpha=114.55 beta=114.55 gamma=41.62
Fractional positions:
Ta  0.177  0.177  0.121
Ta  0.823  0.823  0.879
In  0.000  0.000  0.500
O  0.017  0.017  0.184
O  0.300  0.300  0.934
O  0.338  0.338  0.375
O  0.662  0.662  0.625
O  0.700  0.700  0.066
O  0.983  0.983  0.816

***

An optimized crystal structure of TaInO2, computed with PBE.

Summary:
The density of states at the Fermi level comes out at 2.79 states/eV/f.u. The calculation puts the calculated volume at 165.1 Å³/cell. For the formation energy (no corrections), the calculation gives -1.4991 eV/atom.

Unit cell a=6.496 b=6.496 c=6.496 alpha=128.06 beta=128.06 gamma=76.52
Fractional positions:
Ta  0.000  0.000  0.000
Ta  0.750  0.250  0.500
In  0.250  0.750  0.500
In  0.500  0.500  0.000
O  0.375  0.109  0.234
O  0.859  0.625  0.734
O  0.875  0.141  0.766
O  0.891  0.125  0.266